1.
Entry from Alexandria via LeMat-Bulk: an optimized crystal structure of Ce2SI2N (GGA-PBE).

abc: 4.0851 7.2594 12.2209
angles: 90.00 90.00 90.00
With the nearest neighbours (Å) after each atom.
Atoms (fractional coordinates):
Ce: 0.0000 0.2496 0.6937  2 N 2.30
Ce: 0.5000 0.3467 0.4421  1 N 2.35
Ce: 0.0000 0.7496 0.3063  2 N 2.30
Ce: 0.5000 0.8467 0.5579  1 N 2.35
S: 0.0000 0.0478 0.4523  5 Ce 2.81-2.98, 2 N 3.04
S: 0.0000 0.5478 0.5477  5 Ce 2.81-2.98, 2 N 3.04
I: 0.5000 0.8598 0.1175  2 Ce 3.18, 1 N 3.50
I: 0.0000 0.3438 0.2253  3 Ce 3.11-3.35
I: 0.5000 0.3598 0.8825  2 Ce 3.18, 1 N 3.50
I: 0.0000 0.8438 0.7747  3 Ce 3.11-3.35
N: 0.5000 0.1979 0.6130  3 Ce 2.30-2.35
N: 0.5000 0.6979 0.3870  3 Ce 2.30-2.35

## Properties
The density of states at the Fermi level comes out at 15.74 states/eV per cell. As for the space-group type: Pmc2_1, No. 26. Its total magnetization is 0.1777 μB per atom. For the formation energy without anion corrections, the calculation gives -151.5 kJ/mol of atoms. The total energy is -6.1406 eV/atom.


2.
Entry from Alexandria via LeMat-Bulk: an optimized crystal structure of RbBaAuI (GGA-PBE).

abc: 4.8521 4.8523 9.4214
angles: 90.01 104.93 119.99
With the nearest neighbours (Å) after each atom.
Atoms (fractional coordinates):
Rb: 0.4862 0.1411 0.6425  3 Au 3.62, 3 I 3.87
Ba: 0.1143 0.9552 0.0846  3 Au 3.27, 3 I 3.65-3.66
Au: 0.3224 0.5591 0.8969  3 Ba 3.27, 3 Rb 3.62
I: 0.9550 0.3754 0.3456  3 Ba 3.65-3.66, 3 Rb 3.87

## Properties
The density of states at the Fermi level comes out at 2.66 states/eV per cell. As for the space-group type: R3m, No. 160. Its total magnetization is 0.1959 μB per atom. For the formation energy without anion corrections, the calculation gives -90.3 kJ/mol of atoms. The total energy is -2.8655 eV/atom.


3.
Entry from Alexandria via LeMat-Bulk: an optimized crystal structure of TaV6B4 (GGA-PBE).

abc: 5.6586 5.6586 5.6586
angles: 91.86 118.93 118.93
With the nearest neighbours (Å) after each atom.
Atoms (fractional coordinates):
Ta: 0.0000 0.0000 0.0000  4 B 2.38
V: 0.0000 0.8294 0.5255  4 B 2.14-2.28
V: 0.0000 0.5255 0.8294  4 B 2.14-2.28
V: 0.6961 0.1706 0.1706  4 B 2.14-2.28
V: 0.5000 0.0000 0.5000  4 B 2.16
V: 0.3039 0.4745 0.4745  4 B 2.14-2.28
V: 0.5000 0.5000 0.0000  4 B 2.16
B: 0.0000 0.1953 0.6330  6 V 2.14-2.28, 1 Ta 2.38
B: 0.5623 0.3670 0.3670  6 V 2.14-2.28, 1 Ta 2.38
B: 0.0000 0.6330 0.1953  6 V 2.14-2.28, 1 Ta 2.38
B: 0.4377 0.8047 0.8047  6 V 2.14-2.28, 1 Ta 2.38

## Properties
The density of states at the Fermi level comes out at 8.73 states/eV per cell. As for the space-group type: I-42m, No. 121. The calculated formation energy comes out at -0.19 eV/atom. Its total magnetization is 0.0000 μB per atom. The total energy is -8.6706 eV/atom.


4.
Entry from Alexandria via LeMat-Bulk: an optimized crystal structure of Y2Tm2Tl7 (GGA-PBE).

abc: 7.8666 5.2528 7.8666
angles: 82.68 94.76 97.32
With the nearest neighbours (Å) after each atom.
Atoms (fractional coordinates):
Y: 0.7988 0.5000 0.7988  4 Tl 3.10-3.39
Y: 0.2012 0.5000 0.2012  4 Tl 3.10-3.39
Tm: 0.7327 0.2950 0.2673  7 Tl 3.10-3.41
Tm: 0.2673 0.7050 0.7327  7 Tl 3.10-3.41
Tl: 0.0307 0.2183 0.6027  4 Tl 2.94-3.26, 1 Y 3.10, 1 Tm 3.19
Tl: 0.6027 0.7817 0.0307  4 Tl 2.94-3.26, 1 Y 3.10, 1 Tm 3.19
Tl: 0.9693 0.7817 0.3973  4 Tl 2.94-3.26, 1 Y 3.10, 1 Tm 3.19
Tl: 0.3973 0.2183 0.9693  4 Tl 2.94-3.26, 1 Y 3.10, 1 Tm 3.19
Tl: 0.0000 0.0000 0.0000  4 Tl 3.21, 4 Y 3.39
Tl: 0.5649 0.7671 0.4351  4 Tl 2.94-3.21, 1 Tm 3.10
Tl: 0.4351 0.2329 0.5649  4 Tl 2.94-3.21, 1 Tm 3.10

## Properties
The density of states at the Fermi level comes out at 6.56 states/eV per cell. As for the space-group type: C2/m, No. 12. The calculated formation energy comes out at -0.09 eV/atom. Its total magnetization is 0.0000 μB per atom. The total energy is -3.5847 eV/atom.


5.
Entry from Alexandria via LeMat-Bulk: an optimized crystal structure of KOsN3 (GGA-PBE).

abc: 3.9740 3.9740 3.9740
angles: 90.00 90.00 90.00
With the nearest neighbours (Å) after each atom.
Atoms (fractional coordinates):
K: 0.0000 0.0000 0.0000  6 N 1.99
Os: 0.5000 0.5000 0.5000  12 N 2.81
N: 0.0000 0.5000 0.0000  2 K 1.99
N: 0.0000 0.0000 0.5000  2 K 1.99
N: 0.5000 0.0000 0.0000  2 K 1.99

## Properties
The density of states at the Fermi level comes out at 4.44 states/eV per cell. As for the space-group type: Pm-3m, No. 221. Its total magnetization is 0.0006 μB per atom. For the formation energy without anion corrections, the calculation gives 396.2 kJ/mol of atoms. The total energy is -3.3538 eV/atom.


6.
Entry from Alexandria via LeMat-Bulk: an optimized crystal structure of GdScBeCo (GGA-PBE).

abc: 4.6380 4.6380 4.6380
angles: 60.00 60.00 60.00
With the nearest neighbours (Å) after each atom.
Atoms (fractional coordinates):
Sc: 0.0000 0.0000 0.0000  4 Co 2.84, 4 Be 2.84
Be: 0.7500 0.7500 0.7500  4 Gd 2.84, 4 Sc 2.84
Gd: 0.5000 0.5000 0.5000  4 Co 2.84, 4 Be 2.84
Co: 0.2500 0.2500 0.2500  4 Gd 2.84, 4 Sc 2.84

## Properties
The density of states at the Fermi level comes out at 2.22 states/eV per cell. As for the space-group type: F-43m, No. 216. The calculated formation energy comes out at -0.05 eV/atom. Its total magnetization is 1.7444 μB per atom. The total energy is -7.8632 eV/atom.


7.
Entry from Alexandria via LeMat-Bulk: an optimized crystal structure of NaNbBi2 (GGA-PBE).

abc: 7.2150 7.2150 8.0502
angles: 63.38 63.38 90.00
With the nearest neighbours (Å) after each atom.
Atoms (fractional coordinates):
Na: 0.5000 0.5000 0.0000  4 Bi 3.28
Na: 0.2500 0.7500 0.5000  4 Bi 3.28
Nb: 0.0000 0.0000 0.0000  4 Bi 2.74
Nb: 0.7500 0.2500 0.5000  4 Bi 2.74
Bi: 0.6875 0.1250 0.2500  2 Nb 2.74
Bi: 0.0625 0.6250 0.2500  2 Nb 2.74
Bi: 0.3750 0.3125 0.7500  2 Nb 2.74
Bi: 0.8750 0.9375 0.7500  2 Nb 2.74

## Properties
The density of states at the Fermi level comes out at 0.00 states/eV per cell. The energy relative to the lowest polymorph listed for this composition comes out at 0.4407 eV per atom. As for the space-group type: I-42d, No. 122. The calculated formation energy comes out at 0.43 eV/atom. Its total magnetization is 0.0000 μB per atom. The total energy is -4.3614 eV/atom.


8.
Entry from Alexandria via LeMat-Bulk: an optimized crystal structure of Li2PrAlAg4 (GGA-PBE).

abc: 4.5178 4.5178 9.2900
angles: 75.93 75.93 60.00
With the nearest neighbours (Å) after each atom.
Atoms (fractional coordinates):
Li: 0.7651 0.7651 0.7048  7 Ag 2.73-2.77
Li: 0.2349 0.2349 0.2952  7 Ag 2.73-2.77
Pr: 0.0000 0.0000 0.0000  8 Ag 3.19-3.51
Al: 0.5000 0.5000 0.5000  8 Ag 2.62-2.78
Ag: 0.4021 0.4021 0.7937  1 Al 2.62, 3 Li 2.73
Ag: 0.8687 0.8687 0.3938  4 Li 2.75-2.77, 3 Al 2.78
Ag: 0.1313 0.1313 0.6062  4 Li 2.75-2.77, 3 Al 2.78
Ag: 0.5979 0.5979 0.2063  1 Al 2.62, 3 Li 2.73

## Properties
The density of states at the Fermi level comes out at 3.70 states/eV per cell. As for the space-group type: R-3m, No. 166. The calculated formation energy comes out at -0.19 eV/atom. Its total magnetization is 0.0000 μB per atom. The total energy is -3.1561 eV/atom.


9.
Entry from Alexandria via LeMat-Bulk: an optimized crystal structure of PmErSi2Pd5 (GGA-PBE).

abc: 4.1995 4.1995 9.0080
angles: 90.00 90.00 90.00
With the nearest neighbours (Å) after each atom.
Atoms (fractional coordinates):
Pm: 0.0000 0.0000 0.5000  12 Pd 2.97-2.99
Er: 0.0000 0.0000 0.0000  8 Pd 3.17, 8 Si 3.19
Si: 0.5000 0.5000 0.1298  1 Si 2.34, 4 Pd 2.42
Si: 0.5000 0.5000 0.8702  1 Si 2.34, 4 Pd 2.42
Pd: 0.0000 0.5000 0.2633  2 Si 2.42
Pd: 0.5000 0.0000 0.2633  2 Si 2.42
Pd: 0.0000 0.5000 0.7367  2 Si 2.42
Pd: 0.5000 0.0000 0.7367  2 Si 2.42
Pd: 0.5000 0.5000 0.5000  4 Pm 2.97, 8 Pd 2.99

## Properties
The density of states at the Fermi level comes out at 3.05 states/eV per cell. As for the space-group type: P4/mmm, No. 123. Its total magnetization is 0.0000 μB per atom. For the formation energy without anion corrections, the calculation gives -87.0 kJ/mol of atoms. The total energy is -6.0261 eV/atom.


10.
Entry from Alexandria via LeMat-Bulk: an optimized crystal structure of Mn2FeRe (GGA-PBE).

abc: 2.5779 2.5779 7.4080
angles: 90.00 90.00 90.00
With the nearest neighbours (Å) after each atom.
Atoms (fractional coordinates):
Fe: 0.5000 0.5000 0.7500  8 Mn 2.50, 4 Fe 2.58
Mn: 0.0000 0.0000 0.9813  4 Fe 2.50, 4 Mn 2.58, 4 Re 2.70
Mn: 0.0000 0.0000 0.5187  4 Fe 2.50, 4 Mn 2.58, 4 Re 2.70
Re: 0.5000 0.5000 0.2500  4 Re 2.58, 8 Mn 2.70

## Properties
The density of states at the Fermi level comes out at 4.68 states/eV per cell. As for the space-group type: P4/mmm, No. 123. The calculated formation energy comes out at 0.11 eV/atom. Its total magnetization is 0.4496 μB per atom. The total energy is -9.7015 eV/atom.